i.
# Na3SrBr | Alexandria via LeMat-Bulk | PBE | optimized geometry
# **Crystal system**: cubic
# **Total moment**: 0.18 Bohr magnetons per cell
data_Na3SrBr
_cell_length_a 5.952
_cell_length_b 5.952
_cell_length_c 5.952
_cell_angle_alpha 90.00
_cell_angle_beta 90.00
_cell_angle_gamma 90.00
_symmetry_space_group_name_H-M 'P 1'
_symmetry_Int_Tables_number 1
loop_
_symmetry_equiv_pos_as_xyz
'x,y,z'
loop_
_atom_site_label
_atom_site_type_symbol
_atom_site_fract_x
_atom_site_fract_y
_atom_site_fract_z
Na1 Na 0.000 0.000 0.500
Na2 Na 0.000 0.500 0.000
Na3 Na 0.500 0.000 0.000
Sr1 Sr 0.500 0.500 0.500
Br1 Br 0.000 0.000 0.000

ii.
# Na3SrBr | Alexandria via LeMat-Bulk | PBE | optimized geometry
# **Crystal system**: cubic
# **Total moment**: 1.99 Bohr magnetons per cell
data_Na3SrBr
_cell_length_a 7.104
_cell_length_b 7.104
_cell_length_c 7.104
_cell_angle_alpha 90.00
_cell_angle_beta 90.00
_cell_angle_gamma 90.00
_symmetry_space_group_name_H-M 'P 1'
_symmetry_Int_Tables_number 1
loop_
_symmetry_equiv_pos_as_xyz
'x,y,z'
loop_
_atom_site_label
_atom_site_type_symbol
_atom_site_fract_x
_atom_site_fract_y
_atom_site_fract_z
Na1 Na 0.000 0.000 0.500
Na2 Na 0.000 0.500 0.000
Na3 Na 0.500 0.000 0.000
Sr1 Sr 0.000 0.000 0.000
Br1 Br 0.500 0.500 0.500

What should be chosen as the most stable of them? Choose i.

i.
# NaSr2Br2 | Alexandria via LeMat-Bulk | PBE | optimized geometry
# **Crystal system**: tetragonal
# **Total moment**: 1.90 Bohr magnetons per cell
data_NaSr2Br2
_cell_length_a 6.242
_cell_length_b 6.242
_cell_length_c 10.362
_cell_angle_alpha 90.00
_cell_angle_beta 90.00
_cell_angle_gamma 90.00
_symmetry_space_group_name_H-M 'P 1'
_symmetry_Int_Tables_number 1
loop_
_symmetry_equiv_pos_as_xyz
'x,y,z'
loop_
_atom_site_label
_atom_site_type_symbol
_atom_site_fract_x
_atom_site_fract_y
_atom_site_fract_z
Na1 Na 0.000 0.000 0.000
Na2 Na 0.500 0.500 0.500
Sr1 Sr 0.000 0.500 0.250
Sr2 Sr 0.000 0.500 0.750
Sr3 Sr 0.500 0.000 0.250
Sr4 Sr 0.500 0.000 0.750
Br1 Br 0.000 0.000 0.314
Br2 Br 0.000 0.000 0.686
Br3 Br 0.500 0.500 0.186
Br4 Br 0.500 0.500 0.814

ii.
# NaSr2Br2 | Alexandria via LeMat-Bulk | PBE | optimized geometry
# **Crystal system**: tetragonal
# **Total moment**: 0.00 Bohr magnetons per cell
data_NaSr2Br2
_cell_length_a 5.244
_cell_length_b 5.244
_cell_length_c 15.246
_cell_angle_alpha 90.00
_cell_angle_beta 90.00
_cell_angle_gamma 90.00
_symmetry_space_group_name_H-M 'P 1'
_symmetry_Int_Tables_number 1
loop_
_symmetry_equiv_pos_as_xyz
'x,y,z'
loop_
_atom_site_label
_atom_site_type_symbol
_atom_site_fract_x
_atom_site_fract_y
_atom_site_fract_z
Na1 Na 0.000 0.000 0.000
Na2 Na 0.500 0.500 0.500
Sr1 Sr 0.000 0.000 0.366
Sr2 Sr 0.000 0.000 0.634
Sr3 Sr 0.500 0.500 0.134
Sr4 Sr 0.500 0.500 0.866
Br1 Br 0.000 0.500 0.250
Br2 Br 0.000 0.500 0.750
Br3 Br 0.500 0.000 0.250
Br4 Br 0.500 0.000 0.750

What should be chosen as the most stable of them? Choose ii.

i.
# NaTaBr2 | Alexandria via LeMat-Bulk | PBE | optimized geometry
# **Crystal system**: trigonal
# **Total moment**: 0.00 Bohr magnetons per cell
data_NaTaBr2
_cell_length_a 3.347
_cell_length_b 3.347
_cell_length_c 33.409
_cell_angle_alpha 90.00
_cell_angle_beta 90.00
_cell_angle_gamma 120.00
_symmetry_space_group_name_H-M 'P 1'
_symmetry_Int_Tables_number 1
loop_
_symmetry_equiv_pos_as_xyz
'x,y,z'
loop_
_atom_site_label
_atom_site_type_symbol
_atom_site_fract_x
_atom_site_fract_y
_atom_site_fract_z
Na1 Na 0.000 0.000 0.000
Na2 Na 0.333 0.667 0.667
Na3 Na 0.667 0.333 0.333
Ta1 Ta 0.000 0.000 0.500
Ta2 Ta 0.333 0.667 0.167
Ta3 Ta 0.667 0.333 0.833
Br1 Br 0.000 0.000 0.110
Br2 Br 0.000 0.000 0.890
Br3 Br 0.333 0.667 0.557
Br4 Br 0.333 0.667 0.777
Br5 Br 0.667 0.333 0.223
Br6 Br 0.667 0.333 0.443

ii.
# NaTaBr2 | Alexandria via LeMat-Bulk | PBE | optimized geometry
# **Crystal system**: cubic
# **Total moment**: 0.00 Bohr magnetons per cell
data_NaTaBr2
_cell_length_a 6.781
_cell_length_b 6.781
_cell_length_c 6.781
_cell_angle_alpha 90.00
_cell_angle_beta 90.00
_cell_angle_gamma 90.00
_symmetry_space_group_name_H-M 'P 1'
_symmetry_Int_Tables_number 1
loop_
_symmetry_equiv_pos_as_xyz
'x,y,z'
loop_
_atom_site_label
_atom_site_type_symbol
_atom_site_fract_x
_atom_site_fract_y
_atom_site_fract_z
Na1 Na 0.000 0.000 0.000
Na2 Na 0.000 0.500 0.500
Na3 Na 0.500 0.000 0.500
Na4 Na 0.500 0.500 0.000
Ta1 Ta 0.000 0.000 0.500
Ta2 Ta 0.000 0.500 0.000
Ta3 Ta 0.500 0.000 0.000
Ta4 Ta 0.500 0.500 0.500
Br1 Br 0.250 0.250 0.250
Br2 Br 0.250 0.250 0.750
Br3 Br 0.250 0.750 0.250
Br4 Br 0.250 0.750 0.750
Br5 Br 0.750 0.250 0.250
Br6 Br 0.750 0.250 0.750
Br7 Br 0.750 0.750 0.250
Br8 Br 0.750 0.750 0.750

What should be chosen as the most stable of them? Choose i.